1.
The following is a meta-GGA SCAN calculation of BeCd2O at its PBEsol-relaxed geometry, from the Alexandria database.

abc: 5.594 5.594 5.594
angles: 114.90 114.90 99.09
Positions (direct):
Be (0.000, 0.000, 0.000)
Be (0.750, 0.250, 0.500)
Cd (0.156, 0.625, 0.031)
Cd (0.375, 0.406, 0.531)
Cd (0.594, 0.125, 0.969)
Cd (0.875, 0.844, 0.469)
O (0.250, 0.750, 0.500)
O (0.500, 0.500, 0.000)

The formation energy without anion corrections comes out at -0.1244 eV per atom. As for the final energy: -143.82 eV per cell. As for the total moment: 0.00 μB per formula unit.

2.
The following is a meta-GGA SCAN calculation of Be2CdO at its PBEsol-relaxed geometry, from the Alexandria database.

abc: 5.031 5.031 5.031
angles: 119.09 119.09 91.58
Positions (direct):
Be (0.375, 0.234, 0.359)
Be (0.766, 0.125, 0.141)
Be (0.875, 0.016, 0.641)
Be (0.984, 0.625, 0.859)
Cd (0.250, 0.750, 0.500)
Cd (0.500, 0.500, 0.000)
O (0.000, 0.000, 0.000)
O (0.750, 0.250, 0.500)

The formation energy without anion corrections comes out at -0.9753 eV per atom. As for the final energy: -98.51 eV per cell. As for the total moment: 0.00 μB per formula unit.

3.
The following is a meta-GGA SCAN calculation of BeCd3O at its PBEsol-relaxed geometry, from the Alexandria database.

abc: 4.506 4.506 4.506
angles: 90.00 90.00 90.00
Positions (direct):
Be (0.000, 0.000, 0.000)
Cd (0.000, 0.500, 0.500)
Cd (0.500, 0.000, 0.500)
Cd (0.500, 0.500, 0.000)
O (0.500, 0.500, 0.500)

The formation energy without anion corrections comes out at 0.2180 eV per atom. As for the final energy: -100.74 eV per cell. The calculation puts the excess energy over the best structure of this formula in the dataset at 0 meV/atom. As for the total moment: 0.00 μB per formula unit.

Copy entry 1 word for word.
The following is a meta-GGA SCAN calculation of BeCd2O at its PBEsol-relaxed geometry, from the Alexandria database.

abc: 5.594 5.594 5.594
angles: 114.90 114.90 99.09
Positions (direct):
Be (0.000, 0.000, 0.000)
Be (0.750, 0.250, 0.500)
Cd (0.156, 0.625, 0.031)
Cd (0.375, 0.406, 0.531)
Cd (0.594, 0.125, 0.969)
Cd (0.875, 0.844, 0.469)
O (0.250, 0.750, 0.500)
O (0.500, 0.500, 0.000)

The formation energy without anion corrections comes out at -0.1244 eV per atom. As for the final energy: -143.82 eV per cell. As for the total moment: 0.00 μB per formula unit.

Q: What is the formula in the third record?
A: BeCd3O

Q: Which value of total moment does entry 1 give?
A: 0.00 μB per formula unit